Record 1
Compound: Mg2TaRe
Source: the Alexandria database
Functional: SCAN
Structure: PBEsol geometry

Structure (CIF):
```
data_Mg2TaRe
_cell_length_a 6.428
_cell_length_b 6.428
_cell_length_c 6.428
_cell_angle_alpha 90.00
_cell_angle_beta 90.00
_cell_angle_gamma 90.00
_space_group_name_H-M_alt 'F m -3 m'
_space_group_IT_number 225
_space_group_name_Hall '-F 4 2 3'
loop_
_atom_site_label
_atom_site_type_symbol
_atom_site_fract_x
_atom_site_fract_y
_atom_site_fract_z
_atom_site_occupancy
Mg1 Mg 0.250 0.250 0.250 1
Ta1 Ta 0.000 0.000 0.000 1
Re1 Re 0.000 0.000 0.500 1
```

Output
Formation energy from the elements: 0.78 eV per atom
Polymorph energy (0 for the lowest one): 548 meV per atom

---

Record 2
Compound: MgTaRe2
Source: the Alexandria database
Functional: SCAN
Structure: PBEsol geometry

Structure (CIF):
```
data_MgTaRe2
_cell_length_a 3.145
_cell_length_b 4.539
_cell_length_c 8.851
_cell_angle_alpha 90.00
_cell_angle_beta 90.00
_cell_angle_gamma 90.00
_space_group_name_H-M_alt 'I m m m'
_space_group_IT_number 71
_space_group_name_Hall '-I 2 2'
loop_
_atom_site_label
_atom_site_type_symbol
_atom_site_fract_x
_atom_site_fract_y
_atom_site_fract_z
_atom_site_occupancy
Mg1 Mg 0.000 0.000 0.000 1
Ta1 Ta 0.000 0.000 0.500 1
Re1 Re 0.000 0.500 0.239 1
```

Output
Formation energy from the elements: 0.07 eV per atom

---

Record 3
Compound: Mg2TaRe
Source: the Alexandria database
Functional: SCAN
Structure: PBEsol geometry

Structure (CIF):
```
data_Mg2TaRe
_cell_length_a 5.421
_cell_length_b 9.454
_cell_length_c 2.707
_cell_angle_alpha 90.00
_cell_angle_beta 103.35
_cell_angle_gamma 90.00
_space_group_name_H-M_alt 'C 1 2/m 1'
_space_group_IT_number 12
loop_
_space_group_symop_operation_xyz
'x,y,z'
'-x,-y,-z'
'-x,y,-z'
'x,-y,z'
'x+1/2,y+1/2,z'
'-x+1/2,-y+1/2,-z'
'-x+1/2,y+1/2,-z'
'x+1/2,-y+1/2,z'
loop_
_atom_site_label
_atom_site_type_symbol
_atom_site_fract_x
_atom_site_fract_y
_atom_site_fract_z
_atom_site_occupancy
Mg1 Mg 0.250 0.250 0.000 1
Ta1 Ta 0.000 0.000 0.500 1
Re1 Re 0.000 0.500 0.500 1
```

Output
Formation energy from the elements: 0.23 eV per atom
Polymorph energy (0 for the lowest one): 0 meV per atom

---

Record 4
Compound: MgTa2Re
Source: the Alexandria database
Functional: SCAN
Structure: PBEsol geometry

Structure (CIF):
```
data_MgTa2Re
_cell_length_a 9.475
_cell_length_b 2.671
_cell_length_c 5.366
_cell_angle_alpha 90.00
_cell_angle_beta 91.93
_cell_angle_gamma 90.00
_space_group_name_H-M_alt 'C 1 2/m 1'
_space_group_IT_number 12
loop_
_space_group_symop_operation_xyz
'x,y,z'
'-x,-y,-z'
'-x,y,-z'
'x,-y,z'
'x+1/2,y+1/2,z'
'-x+1/2,-y+1/2,-z'
'-x+1/2,y+1/2,-z'
'x+1/2,-y+1/2,z'
loop_
_atom_site_label
_atom_site_type_symbol
_atom_site_fract_x
_atom_site_fract_y
_atom_site_fract_z
_atom_site_occupancy
Mg1 Mg 0.000 0.000 0.000 1
Ta1 Ta 0.247 0.500 0.255 1
Re1 Re 0.000 0.500 0.500 1
```

Output
Formation energy from the elements: 0.22 eV per atom

---

Number 1: size of the total moment 0.0010 μB per atom, D(E_F) 16.9 states/eV per cell. Number 2: size of the total moment 0.0000 μB per atom, D(E_F) 4.3 states/eV per cell. Number 3: size of the total moment 0.0000 μB per atom, D(E_F) 4.1 states/eV per cell. Number 4: size of the total moment 0.0000 μB per atom, D(E_F) 5.2 states/eV per cell.